The following is a GGA-PBE calculation of a relaxed Mg5InGa3 crystal, from the Alexandria database.

a = 14.751 Å, b = 8.527 Å, c = 6.008 Å
α = 90.00°, β = 90.00°, γ = 90.00°
Space group Cmcm (No. 63)
Asymmetric unit:
Mg 0.000 0.184 0.250 [4 per cell]
Mg 0.158 0.341 0.750 [8 per cell]
Mg 0.167 0.000 0.000 [8 per cell]
In 0.000 0.500 0.000 [4 per cell]
Ga 0.000 0.142 0.750 [4 per cell]
Ga 0.179 0.321 0.250 [8 per cell]

Summary:
- DFT formation energy: -0.0754 eV/atom
- Total energy: -2.275 eV per atom



The following is a GGA-PBE calculation of a relaxed MgInGa crystal, from the Alexandria database.

a = 4.458 Å, b = 4.433 Å, c = 6.967 Å
α = 90.00°, β = 107.50°, γ = 90.00°
Space group Pm (No. 6)
Asymmetric unit:
Mg 0.000 0.000 0.000 [1 per cell]
Mg 0.328 0.000 0.651 [1 per cell]
In 0.490 0.500 0.982 [1 per cell]
In 0.671 0.000 0.337 [1 per cell]
Ga 0.167 0.500 0.335 [1 per cell]
Ga 0.838 0.500 0.669 [1 per cell]

Summary:
- DFT formation energy: -0.0605 eV/atom
- Total energy: -2.514 eV per atom



The following is a GGA-PBE calculation of a relaxed MgInGa2 crystal, from the Alexandria database.

a = 4.4551 Å, b = 4.4551 Å, c = 16.2092 Å
α = 90.00°, β = 90.00°, γ = 120.00°
Space group R3m (No. 160, hexagonal axes)
Asymmetric unit:
Mg 0.0000 0.0000 0.0000 [3 per cell]
In 0.0000 0.0000 0.1904 [3 per cell]
Ga 0.0000 0.0000 0.4214 [3 per cell]
Ga 0.0000 0.0000 0.5990 [3 per cell]

Summary:
- DFT formation energy: 0.0333 eV/atom
- Total energy: -2.563 eV per atom